Entry 1:
The following is a DFT calculation (GGA-PBE) of an optimized crystal structure of Y3Al3Ag2Ge.

Output
- calculated total energy (Ry per atom) = -0.365
- volume (A^3/atom) = 21.5
- crystal system = hexagonal
- excess energy over the best structure of this formula in the dataset (meV per atom) = 0
- SG = P-62m, No. 189
- mass density (g cm⁻³) = 5.5

a = 7.523 Å, b = 7.523 Å, c = 3.940 Å
α = 90.00°, β = 90.00°, γ = 120.00°
Atoms (fractional coordinates):
1 Y 0.611 0.000 0.000
2 Ag 0.667 0.333 0.500
3 Al 0.743 0.743 0.500
4 Ge 0.000 0.000 0.000
5 Al 0.257 0.000 0.500
6 Al 0.000 0.257 0.500
7 Ag 0.333 0.667 0.500
8 Y 0.389 0.389 0.000
9 Y 0.000 0.611 0.000

***

Entry 2:
The following is a DFT calculation (GGA-PBE) of an optimized crystal structure of AlAgH6Ir.

Output
- calculated total energy (Ry per atom) = -0.235
- volume (A^3/atom) = 7.5
- crystal system = cubic
- SG = F-43m, No. 216
- mass density (g cm⁻³) = 8.2

a = 4.563 Å, b = 4.563 Å, c = 4.563 Å
α = 60.00°, β = 60.00°, γ = 60.00°
Atoms (fractional coordinates):
1 H 0.045 0.045 0.455
2 H 0.045 0.455 0.045
3 H 0.455 0.455 0.045
4 H 0.455 0.045 0.455
5 H 0.045 0.455 0.455
6 Ag 0.750 0.750 0.750
7 Ir 0.000 0.000 0.000
8 Al 0.500 0.500 0.500
9 H 0.455 0.045 0.045

***

Entry 3:
The following is a DFT calculation (GGA-PBE) of an optimized crystal structure of Hf2AlAg.

Output
- calculated total energy (Ry per atom) = -0.470
- volume (A^3/atom) = 19.5
- crystal system = cubic
- SG = F-43m, No. 216
- mass density (g cm⁻³) = 10.5

a = 4.794 Å, b = 4.794 Å, c = 4.794 Å
α = 60.00°, β = 60.00°, γ = 60.00°
Atoms (fractional coordinates):
1 Hf 0.750 0.750 0.750
2 Al 0.500 0.500 0.500
3 Hf 0.000 0.000 0.000
4 Ag 0.250 0.250 0.250

***

Entry 4:
The following is a DFT calculation (GGA-PBE) of an optimized crystal structure of Hf4AlAg.

Output
- calculated total energy (Ry per atom) = -0.508
- volume (A^3/atom) = 25.2
- crystal system = orthorhombic
- SG = Cmmm, No. 65
- mass density (g cm⁻³) = 9.3

a = 5.840 Å, b = 5.840 Å, c = 4.436 Å
α = 90.00°, β = 90.00°, γ = 90.75°
Atoms (fractional coordinates):
1 Ag 0.000 0.000 0.500
2 Hf 0.319 0.319 0.500
3 Hf 0.811 0.189 0.000
4 Al 0.500 0.500 0.000
5 Hf 0.189 0.811 0.000
6 Hf 0.681 0.681 0.500